No. 1
# Na2Pd3Pb

Na2Pd3Pb after structural relaxation (PBE-GGA, the Alexandria database).

Calculated values
Space-group type: No. 166
Energy relative to the elements (eV/atom): -0.262
Total energy (eV per atom): -3.92

abc: 5.4941 5.4941 5.4941
angles: 62.14 62.14 62.14
Last column: nearest neighbours and their distance in Å.
Sites, in units of the cell vectors:
Na 0.1191 0.1191 0.1191  4 Na 3.15-3.51, 9 Pd 3.24-3.27, 3 Pb 3.33
Na 0.8809 0.8809 0.8809  4 Na 3.15-3.51, 9 Pd 3.24-3.27, 3 Pb 3.33
Pd 0.0000 0.5000 0.5000  2 Pb 2.75, 4 Pd 2.84
Pd 0.5000 0.0000 0.5000  2 Pb 2.75, 4 Pd 2.84
Pd 0.5000 0.5000 0.0000  2 Pb 2.75, 4 Pd 2.84
Pb 0.5000 0.5000 0.5000  6 Pd 2.75



No. 2
# Rb4C2O9

Rb4C2O9 after structural relaxation (PBE-GGA, the Alexandria database).

Calculated values
Space-group type: No. 15
Raw formation energy (eV/atom): -1.246
Total energy (eV per atom): -5.71

abc: 9.4467 9.4467 7.8066
angles: 112.95 112.95 93.12
Last column: nearest neighbours and their distance in Å.
Sites, in units of the cell vectors:
Rb 0.1619 0.8381 0.7500  8 O 2.83-3.03
Rb 0.2083 0.7917 0.2500  9 O 2.83-3.13, 2 C 3.17
Rb 0.2656 0.4526 0.8016  6 O 2.87-3.19
Rb 0.4526 0.2656 0.3016  6 O 2.87-3.19
Rb 0.5474 0.7344 0.6984  6 O 2.87-3.19
Rb 0.7344 0.5474 0.1984  6 O 2.87-3.19
Rb 0.7917 0.2083 0.7500  9 O 2.83-3.13, 2 C 3.17
Rb 0.8381 0.1619 0.2500  8 O 2.83-3.03
C 0.1489 0.4687 0.2762  3 O 1.28-1.35
C 0.4687 0.1489 0.7762  3 O 1.28-1.35
C 0.5313 0.8511 0.2238  3 O 1.28-1.35
C 0.8511 0.5313 0.7238  3 O 1.28-1.35
O 0.0098 0.3791 0.1907  1 C 1.28
O 0.0135 0.0614 0.5844  1 O 1.29
O 0.0614 0.0135 0.0844  1 O 1.29
O 0.2164 0.5792 0.4631  1 C 1.28
O 0.2215 0.4401 0.1524  1 C 1.35
O 0.3791 0.0098 0.6907  1 C 1.28
O 0.4149 0.5851 0.2500  2 O 1.90
O 0.4208 0.7836 0.0369  1 C 1.28
O 0.4401 0.2215 0.6524  1 C 1.35
O 0.5599 0.7785 0.3476  1 C 1.35
O 0.5792 0.2164 0.9631  1 C 1.28
O 0.5851 0.4149 0.7500  2 O 1.90
O 0.6209 0.9902 0.3093  1 C 1.28
O 0.7785 0.5599 0.8476  1 C 1.35
O 0.7836 0.4208 0.5369  1 C 1.28
O 0.9386 0.9865 0.9156  1 O 1.29
O 0.9865 0.9386 0.4156  1 O 1.29
O 0.9902 0.6209 0.8093  1 C 1.28



No. 3
# Cs2Cd2Se3

Cs2Cd2Se3 after structural relaxation (PBE-GGA, the Alexandria database).

Calculated values
Space-group type: No. 12
Raw formation energy (eV/atom): -0.895
Total energy (eV per atom): -2.89

abc: 7.8792 7.8792 9.0740
angles: 122.49 122.49 33.28
Last column: nearest neighbours and their distance in Å.
Sites, in units of the cell vectors:
Cs 0.0621 0.0621 0.3403  4 Se 3.50-3.88
Cs 0.9379 0.9379 0.6597  4 Se 3.50-3.88
Cd 0.3047 0.3047 0.9265  4 Se 2.63-2.79
Cd 0.6953 0.6953 0.0735  4 Se 2.63-2.79
Se 0.3123 0.3123 0.2413  3 Cd 2.74-2.79
Se 0.5000 0.5000 0.0000  2 Cd 2.63
Se 0.6877 0.6877 0.7587  3 Cd 2.74-2.79



No. 4
# Fe2ReGe

Fe2ReGe after structural relaxation (PBE-GGA, the Alexandria database).

Calculated values
Space-group type: No. 123
Energy relative to the elements (eV/atom): 0.029
Total energy (eV per atom): -8.47

abc: 2.7509 2.7509 6.4600
angles: 90.00 90.00 90.00
Last column: nearest neighbours and their distance in Å.
Sites, in units of the cell vectors:
Fe 0.0000 0.0000 0.2306  4 Ge 2.45, 4 Re 2.61
Fe 0.0000 0.0000 0.7694  4 Ge 2.45, 4 Re 2.61
Re 0.5000 0.5000 0.5000  8 Fe 2.61, 4 Re 2.75
Ge 0.5000 0.5000 0.0000  8 Fe 2.45



No. 5
# CuRe2Ge2

CuRe2Ge2 after structural relaxation (PBE-GGA, the Alexandria database).

Calculated values
Space-group type: No. 127
Energy relative to the elements (eV/atom): 0.312
Total energy (eV per atom): -7.33

abc: 6.8564 6.8564 3.2586
angles: 90.00 90.00 90.00
Last column: nearest neighbours and their distance in Å.
Sites, in units of the cell vectors:
Cu 0.0000 0.0000 0.0000  4 Re 2.64
Cu 0.5000 0.5000 0.0000  4 Re 2.64
Re 0.1424 0.3576 0.0000  6 Ge 2.55-2.61, 2 Cu 2.64, 1 Re 2.76
Re 0.3576 0.8576 0.0000  6 Ge 2.55-2.61, 2 Cu 2.64, 1 Re 2.76
Re 0.6424 0.1424 0.0000  6 Ge 2.55-2.61, 2 Cu 2.64, 1 Re 2.76
Re 0.8576 0.6424 0.0000  6 Ge 2.55-2.61, 2 Cu 2.64, 1 Re 2.76
Ge 0.1556 0.6556 0.5000  6 Re 2.55-2.61
Ge 0.3444 0.1556 0.5000  6 Re 2.55-2.61
Ge 0.6556 0.8444 0.5000  6 Re 2.55-2.61
Ge 0.8444 0.3444 0.5000  6 Re 2.55-2.61



No. 6
# CsAl2Sb

CsAl2Sb after structural relaxation (PBE-GGA, the Alexandria database).

Calculated values
Space-group type: No. 122
Raw formation energy (eV/atom): 0.291
Total energy (eV per atom): -2.82

abc: 7.2690 7.2690 7.2690
angles: 104.75 104.75 119.38
Last column: nearest neighbours and their distance in Å.
Sites, in units of the cell vectors:
Cs 0.0000 0.0000 0.0000  2 Sb 3.67, 8 Al 3.76-3.86
Cs 0.7500 0.2500 0.5000  2 Sb 3.67, 8 Al 3.76-3.86
Al 0.2016 0.1250 0.5766  2 Sb 2.85
Al 0.3750 0.7984 0.9234  2 Sb 2.85
Al 0.5484 0.6250 0.4234  2 Sb 2.85
Al 0.8750 0.4516 0.0766  2 Sb 2.85
Sb 0.2500 0.7500 0.5000  4 Al 2.85
Sb 0.5000 0.5000 0.0000  4 Al 2.85



Which value of total energy does entry 5 give?
-7.33 eV per atom



Copy entry 6 word for word.
# CsAl2Sb

CsAl2Sb after structural relaxation (PBE-GGA, the Alexandria database).

Calculated values
Space-group type: No. 122
Raw formation energy (eV/atom): 0.291
Total energy (eV per atom): -2.82

abc: 7.2690 7.2690 7.2690
angles: 104.75 104.75 119.38
Last column: nearest neighbours and their distance in Å.
Sites, in units of the cell vectors:
Cs 0.0000 0.0000 0.0000  2 Sb 3.67, 8 Al 3.76-3.86
Cs 0.7500 0.2500 0.5000  2 Sb 3.67, 8 Al 3.76-3.86
Al 0.2016 0.1250 0.5766  2 Sb 2.85
Al 0.3750 0.7984 0.9234  2 Sb 2.85
Al 0.5484 0.6250 0.4234  2 Sb 2.85
Al 0.8750 0.4516 0.0766  2 Sb 2.85
Sb 0.2500 0.7500 0.5000  4 Al 2.85
Sb 0.5000 0.5000 0.0000  4 Al 2.85